(1)
Entry from Alexandria: crystalline PmDyPdAu at its relaxed geometry (PBE).

Results
Theoretical density = 10.5 g/cm3
Energy of formation from the pure elements = -0.86 eV/atom
Total magnetic moment = 0.00 μB per cell
N(E_F) = 0.57 states/eV per atom

```
8
Lattice="4.726 0.000 0.000 0.000 3.814 0.000 0.000 0.000 10.746" Properties=species:S:1:pos:R:3 pbc="T T T"
Pm 0.000 0.000 0.000
Pm 0.000 1.907 5.373
Dy 2.363 0.000 2.965
Dy 2.363 1.907 8.338
Pd 0.000 0.000 7.808
Pd 0.000 1.907 2.435
Au 2.363 0.000 5.975
Au 2.363 1.907 0.602
```

(2)
Entry from Alexandria: crystalline Sm3ScTl2 at its relaxed geometry (PBE).

Results
Theoretical density = 8.4 g/cm3
Energy of formation from the pure elements = -0.23 eV/atom
Total magnetic moment = 3.22 μB per cell
N(E_F) = 1.07 states/eV per atom

```
12
Lattice="-3.288 8.310 3.271 3.288 -8.310 3.271 3.288 8.310 -3.271" Properties=species:S:1:pos:R:3 pbc="T T T"
Sm 4.915 2.926 0.000
Sm 0.000 0.000 1.635
Sm 1.627 5.384 0.000
Sm 1.661 2.926 3.271
Sm 0.000 0.000 4.906
Sm -1.627 5.384 3.271
Sc 3.288 0.000 1.635
Sc 0.000 8.310 1.635
Tl 1.729 2.204 0.000
Tl 1.729 -2.204 3.271
Tl 1.559 10.514 0.000
Tl 1.559 6.106 3.271
```